Entry 1:
First-principles (GGA-PBE) data for a relaxed structure of Ce2TmSb3, as listed in the Alexandria database.

a b c (Å): 7.699 13.344 7.705
angles (deg): 90.00 109.51 90.00
Space group C2/m (No. 12)
Symmetry-distinct sites (fractional):
Ce1 0.000 0.000 0.000
Ce2 0.000 0.164 0.500
Ce3 0.000 0.500 0.500
Tm1 0.000 0.332 0.000
Sb1 0.241 0.500 0.241
Sb2 0.249 0.331 0.756

E_form (uncorrected) ... -1046 meV/atom
DFT total energy ... -5.830 eV/atom
Total magnetization ... 0.27 μB/atom
Offset from the most stable computed form ... 0 meV/atom

---

Entry 2:
First-principles (GGA-PBE) data for a relaxed structure of AcLaSmAg, as listed in the Alexandria database.

a b c (Å): 8.056 8.056 8.056
angles (deg): 90.00 90.00 90.00
Space group F-43m (No. 216)
Symmetry-distinct sites (fractional):
Ac1 0.000 0.000 0.000
La1 0.250 0.250 0.750
Sm1 0.250 0.250 0.250
Ag1 0.000 0.000 0.500

DFT total energy ... -4.009 eV/atom
Total magnetization ... 0.00 μB/atom
Offset from the most stable computed form ... 252 meV/atom

---

Entry 3:
First-principles (GGA-PBE) data for a relaxed structure of NpCoSi2Ir, as listed in the Alexandria database.

a b c (Å): 3.946 3.946 10.075
angles (deg): 90.00 90.00 90.00
Space group I-4m2 (No. 119)
Symmetry-distinct sites (fractional):
Np1 0.000 0.000 0.000
Co1 0.000 0.500 0.750
Si1 0.000 0.000 0.379
Ir1 0.000 0.500 0.250

E_form (uncorrected) ... -633 meV/atom
DFT total energy ... -8.583 eV/atom
Total magnetization ... 0.79 μB/atom

---

> What is the formula in the third record?

NpCoSi2Ir